[1]
The following is a PBE calculation of an optimized crystal structure of SiIr2Rh, from Alexandria via LeMat-Bulk.

Properties
**Crystal system**: orthorhombic
**Volume**: 57.6 Å³/f.u.
**DFT total energy**: -30.491 eV per cell
**Total moment**: 0.00 μB per formula unit
**ΔE_f (raw)**: 1.5 meV per atom

a b c (Å): 2.777 2.777 8.633
angles (deg): 90.00 90.00 120.06
Fractional positions:
Si 0.000 0.000 0.000
Ir 0.000 0.000 0.496
Ir 0.500 0.500 0.775
Rh 0.500 0.500 0.218

---

[2]
The following is a PBE calculation of an optimized crystal structure of NaYTe, from Alexandria via LeMat-Bulk.

Properties
**Crystal system**: trigonal
**Volume**: 110.9 Å³/f.u.
**DFT total energy**: -25.586 eV per cell
**Total moment**: 0.74 μB per formula unit
**ΔE_f (raw)**: -622.8 meV per atom

a b c (Å): 11.355 11.355 11.355
angles (deg): 24.52 24.52 24.52
Fractional positions:
Na 0.125 0.125 0.125
Na 0.875 0.875 0.875
Y 0.302 0.302 0.302
Y 0.698 0.698 0.698
Te 0.400 0.400 0.400
Te 0.600 0.600 0.600

---

[3]
The following is a PBE calculation of an optimized crystal structure of Pm14ScCd, from Alexandria via LeMat-Bulk.

Properties
**Crystal system**: orthorhombic
**Volume**: 522.7 Å³/f.u.
**Calculated formation energy**: -0.01 eV/atom
**DFT total energy**: -73.852 eV per cell
**Total moment**: 0.00 μB per formula unit

a b c (Å): 10.225 7.150 7.150
angles (deg): 89.98 90.00 90.00
Fractional positions:
Pm 0.000 0.000 0.000
Pm 0.000 0.001 0.500
Pm 0.000 0.500 0.001
Pm 0.000 0.500 0.500
Pm 0.256 0.249 0.751
Pm 0.256 0.751 0.249
Pm 0.256 0.751 0.751
Pm 0.257 0.249 0.249
Pm 0.500 0.501 0.998
Pm 0.500 0.998 0.501
Pm 0.743 0.249 0.249
Pm 0.744 0.249 0.751
Pm 0.744 0.751 0.249
Pm 0.744 0.751 0.751
Sc 0.500 0.000 0.000
Cd 0.500 0.500 0.500

---

[4]
The following is a PBE calculation of an optimized crystal structure of Dy3Ga3Ni2, from Alexandria via LeMat-Bulk.

Properties
**Crystal system**: orthorhombic
**Volume**: 156.8 Å³/f.u.
**Calculated formation energy**: -0.62 eV/atom
**DFT total energy**: -78.834 eV per cell
**Total moment**: 0.00 μB per formula unit

a b c (Å): 5.480 5.480 14.513
angles (deg): 90.00 90.00 134.00
Fractional positions:
Dy 0.087 0.913 0.607
Dy 0.087 0.913 0.893
Dy 0.368 0.632 0.750
Dy 0.632 0.368 0.250
Dy 0.913 0.087 0.107
Dy 0.913 0.087 0.393
Ga 0.335 0.665 0.250
Ga 0.373 0.627 0.539
Ga 0.373 0.627 0.961
Ga 0.627 0.373 0.039
Ga 0.627 0.373 0.461
Ga 0.665 0.335 0.750
Ni 0.204 0.796 0.102
Ni 0.204 0.796 0.398
Ni 0.796 0.204 0.602
Ni 0.796 0.204 0.898

---

[5]
The following is a PBE calculation of an optimized crystal structure of Ca2BeHgI, from Alexandria via LeMat-Bulk.

Properties
**Crystal system**: tetragonal
**Volume**: 219.5 Å³/f.u.
**DFT total energy**: -7.202 eV per cell
**Total moment**: 0.00 μB per formula unit
**ΔE_f (raw)**: 476.0 meV per atom

a b c (Å): 5.850 5.850 6.413
angles (deg): 90.00 90.00 90.00
Fractional positions:
Ca 0.000 0.500 0.000
Ca 0.500 0.000 0.000
Be 0.000 0.000 0.500
Hg 0.500 0.500 0.000
I 0.500 0.500 0.500

---

[6]
The following is a PBE calculation of an optimized crystal structure of AlSnPb, from Alexandria via LeMat-Bulk.

Properties
**Crystal system**: monoclinic
**ΔE to the lowest computed polymorph**: 29.8 meV per atom
**Volume**: 80.0 Å³/f.u.
**Calculated formation energy**: 0.15 eV/atom
**DFT total energy**: -22.015 eV per cell
**Total moment**: 0.00 μB per formula unit

a b c (Å): 6.625 3.341 7.287
angles (deg): 90.00 97.43 90.00
Fractional positions:
Al 0.084 0.250 0.370
Al 0.916 0.750 0.630
Sn 0.206 0.750 0.070
Sn 0.794 0.250 0.930
Pb 0.385 0.750 0.678
Pb 0.615 0.250 0.322

---

[7]
The following is a PBE calculation of an optimized crystal structure of ZrTaNi2Sn, from Alexandria via LeMat-Bulk.

Properties
**Crystal system**: tetragonal
**Volume**: 105.6 Å³/f.u.
**Calculated formation energy**: 0.98 eV/atom
**DFT total energy**: -31.090 eV per cell
**Total moment**: 0.00 μB per formula unit

a b c (Å): 4.538 4.538 5.128
angles (deg): 90.00 90.00 90.00
Fractional positions:
Zr 0.000 0.000 0.000
Ta 0.500 0.500 0.000
Ni 0.000 0.500 0.500
Ni 0.500 0.000 0.500
Sn 0.500 0.500 0.500

---

[8]
The following is a PBE calculation of an optimized crystal structure of CoC3, from Alexandria via LeMat-Bulk.

Properties
**Crystal system**: orthorhombic
**ΔE to the lowest computed polymorph**: 709.2 meV per atom
**Volume**: 31.1 Å³/f.u.
**Calculated formation energy**: 1.33 eV/atom
**DFT total energy**: -117.886 eV per cell
**Total moment**: 0.00 μB per formula unit

a b c (Å): 4.829 5.296 4.864
angles (deg): 90.00 90.00 90.00
Fractional positions:
Co 0.157 0.250 0.015
Co 0.343 0.750 0.515
Co 0.657 0.250 0.485
Co 0.843 0.750 0.985
C 0.065 0.250 0.407
C 0.237 0.615 0.083
C 0.237 0.885 0.083
C 0.263 0.115 0.583
C 0.263 0.385 0.583
C 0.435 0.750 0.907
C 0.565 0.250 0.093
C 0.737 0.615 0.417
C 0.737 0.885 0.417
C 0.763 0.115 0.917
C 0.763 0.385 0.917
C 0.935 0.750 0.593